1.
Density functional theory data (GGA+U) for a relaxed structure of Ba2NiC2O6.

Calculated values
The volume comes out at 11.74 A^3/atom. The calculation puts the mass density at 5.8 g cm⁻³. As for the space group: C2/m.

abc: 5.446 5.446 5.926
angles: 117.28 117.28 59.95
Sites, in units of the cell vectors:
Ba 0.239 0.239 0.216
Ba 0.761 0.761 0.784
Ni 0.000 0.000 0.500
C 0.446 0.446 0.838
C 0.554 0.554 0.162
O 0.273 0.273 0.751
O 0.273 0.706 0.752
O 0.294 0.727 0.248
O 0.706 0.273 0.752
O 0.727 0.294 0.248
O 0.727 0.727 0.249

---

2.
Density functional theory data (GGA+U) for a relaxed structure of BaNi3C4O12.

Calculated values
The volume comes out at 11.09 A^3/atom. The calculation puts the mass density at 4.1 g cm⁻³. As for the space group: R32.

abc: 6.224 6.224 6.224
angles: 102.27 102.27 102.27
Sites, in units of the cell vectors:
Ba 0.000 0.000 0.000
Ni 0.000 0.547 0.453
Ni 0.453 0.000 0.547
Ni 0.547 0.453 0.000
C 0.049 0.500 0.951
C 0.500 0.500 0.500
C 0.500 0.951 0.049
C 0.951 0.049 0.500
O 0.012 0.595 0.788
O 0.087 0.913 0.500
O 0.212 0.405 0.988
O 0.365 0.635 0.500
O 0.405 0.988 0.212
O 0.500 0.087 0.913
O 0.500 0.365 0.635
O 0.595 0.788 0.012
O 0.635 0.500 0.365
O 0.788 0.012 0.595
O 0.913 0.500 0.087
O 0.988 0.212 0.405

---

What are the E values for these records? In order: -6.64; -6.80 eV per atom.